5
Lattice="4.457 0.000 0.000 0.000 4.916 0.000 0.000 0.000 4.457" Properties=species:S:1:pos:R:3 comment="YZnCoS2 (GGA-PBE, optimized geometry)" e_tot_ev_per_atom=-4.756 e_form_raw_mev_per_atom=-136.1 pbc="T T T"
Y 0.000 2.458 0.000
Zn 2.229 2.458 2.229
Co 0.000 0.000 0.000
S 0.000 0.000 2.229
S 2.229 0.000 0.000